# LaPmIr2

A geometry-optimized LaPmIr2 structure (PBEsol, Alexandria).

Cell: 7.0064 7.0064 7.0064 Å, 90.00 90.00 90.00°
Space group Fm-3m (No. 225)
Symmetry-distinct sites (fractional):
La 0.0000 0.0000 0.0000 [4 per cell]
Pm 0.0000 0.0000 0.5000 [4 per cell]
Ir 0.2500 0.2500 0.2500 [8 per cell]

Computed properties:
E_form ... -0.52 eV per atom
E ... -8.049 eV per atom
Density of states at the Fermi level ... 9.84 states/eV per cell
M_tot ... 0.000 μB/atom

---

# CuAu2Cl

A geometry-optimized CuAu2Cl structure (PBEsol, Alexandria).

Cell: 3.8316 3.8316 9.0852 Å, 90.00 90.00 90.00°
Space group I4/mmm (No. 139)
Symmetry-distinct sites (fractional):
Cu 0.0000 0.0000 0.0000 [2 per cell]
Au 0.0000 0.5000 0.2500 [4 per cell]
Cl 0.0000 0.0000 0.5000 [2 per cell]

Computed properties:
Offset from the most stable computed form ... 200 meV/atom
E ... -3.261 eV per atom
Density of states at the Fermi level ... 1.54 states/eV per cell
ΔE_f (raw) ... 287 meV/atom
M_tot ... 0.000 μB/atom